DFT (PBE with a Hubbard U) results for Ba2TaMnO6 after structural relaxation.

The total energy is -7.9433 eV/atom. The calculation puts the total moment at 4.0 μB per cell. The value obtained for the calculated volume is 13.95 Å³/atom.

Unit cell a=5.9104 b=5.9104 c=5.9104 alpha=122.73 beta=122.73 gamma=85.33
Atoms (fractional coordinates):
Ba1 0.2500 0.7500 0.5000
Ba2 0.7500 0.2500 0.5000
Ta1 0.0000 0.0000 0.0000
Mn1 0.5000 0.5000 0.0000
O1 0.2291 0.2291 0.0000
O2 0.2528 0.2528 0.5057
O3 0.2528 0.7472 0.0000
O4 0.7472 0.2528 0.0000
O5 0.7472 0.7472 0.4943
O6 0.7709 0.7709 0.0000